Entry A
In5Ir | Alexandria via LeMat-Bulk | PBE-GGA | relaxed; size of the total moment = 0.00 μB/cell; space group = No. 191
1.0
5.586 0.000 0.000
-2.793 4.837 0.000
0.000 0.000 5.828
In Ir
5 1
direct
0.000 0.500 0.000
0.333 0.667 0.500
0.500 0.000 0.000
0.500 0.500 0.000
0.667 0.333 0.500
0.000 0.000 0.500

***

Entry B
In5Ir | Alexandria via LeMat-Bulk | PBE-GGA | relaxed; size of the total moment = 0.00 μB/cell; space group = No. 38
1.0
4.727 0.000 0.000
0.000 1.693 8.834
0.000 -1.693 8.834
In Ir
5 1
direct
0.000 0.000 0.000
0.000 0.282 0.282
0.500 0.105 0.105
0.500 0.414 0.414
0.500 0.748 0.748
0.000 0.643 0.643

***

Entry C
In5Ir | Alexandria via LeMat-Bulk | PBE-GGA | relaxed; size of the total moment = 0.00 μB/cell; space group = No. 189
1.0
5.599 0.000 0.000
-2.800 4.849 0.000
0.000 0.000 4.978
In Ir
5 1
direct
0.000 0.692 0.000
0.308 0.308 0.000
0.333 0.667 0.500
0.667 0.333 0.500
0.692 0.000 0.000
0.000 0.000 0.500

***

entry B is favored, and the nearest alternative lies 12 meV/atom above it.

***

Entry A
In5Ir | Alexandria via LeMat-Bulk | PBE-GGA | relaxed; size of the total moment = 0.00 μB/cell; space group = No. 123
1.0
3.166 0.000 0.000
0.000 3.166 0.000
0.000 0.000 14.181
In Ir
5 1
direct
0.000 0.000 0.000
0.000 0.000 0.377
0.000 0.000 0.623
0.500 0.500 0.191
0.500 0.500 0.809
0.500 0.500 0.500

***

Entry B
In5Ir | Alexandria via LeMat-Bulk | PBE-GGA | relaxed; size of the total moment = 0.00 μB/cell; space group = No. 51
1.0
8.993 0.000 0.000
0.000 4.195 0.000
0.000 0.000 7.456
In Ir
10 2
direct
0.000 0.000 0.000
0.061 0.500 0.316
0.250 0.000 0.574
0.250 0.500 0.912
0.439 0.500 0.316
0.500 0.000 0.000
0.561 0.500 0.684
0.750 0.000 0.426
0.750 0.500 0.088
0.939 0.500 0.684
0.250 0.000 0.198
0.750 0.000 0.802

***

Entry C
In5Ir | Alexandria via LeMat-Bulk | PBE-GGA | relaxed; size of the total moment = 0.00 μB/cell; space group = No. 65
1.0
2.179 -6.672 0.000
2.179 6.672 0.000
0.000 0.000 4.716
In Ir
5 1
direct
0.000 0.000 0.000
0.148 0.852 0.500
0.341 0.659 0.000
0.659 0.341 0.000
0.852 0.148 0.500
0.500 0.500 0.500

***

Entry D
In5Ir | Alexandria via LeMat-Bulk | PBE-GGA | relaxed; size of the total moment = 0.00 μB/cell; space group = No. 12
1.0
6.851 -1.524 0.000
6.851 1.524 0.000
-6.762 0.000 6.993
In Ir
5 1
direct
0.000 0.000 0.000
0.284 0.284 0.394
0.391 0.391 0.173
0.609 0.609 0.827
0.716 0.716 0.606
0.000 0.000 0.500

***

entry B is favored, and the nearest alternative lies 82 meV/atom above it.

***

Entry A
KIn2Ir | Alexandria via LeMat-Bulk | PBE-GGA | relaxed; size of the total moment = 0.00 μB/cell; space group = No. 123
1.0
4.638 0.000 0.000
0.000 4.638 0.000
0.000 0.000 4.302
K In Ir
1 2 1
direct
0.000 0.000 0.000
0.000 0.500 0.500
0.500 0.000 0.500
0.500 0.500 0.000

***

Entry B
KIn2Ir | Alexandria via LeMat-Bulk | PBE-GGA | relaxed; size of the total moment = 0.53 μB/cell; space group = No. 12
1.0
3.200 -5.190 0.000
3.200 5.190 0.000
-0.931 0.000 2.781
K In Ir
1 2 1
direct
0.000 0.000 0.000
0.000 0.500 0.500
0.500 0.000 0.500
0.500 0.500 0.000

***

Entry C
KIn2Ir | Alexandria via LeMat-Bulk | PBE-GGA | relaxed; size of the total moment = 0.00 μB/cell; space group = No. 44
1.0
-1.550 2.238 8.055
1.550 -2.238 8.055
1.550 2.238 -8.055
K In Ir
1 2 1
direct
0.000 0.000 0.000
0.338 0.338 0.000
0.680 0.180 0.500
0.195 0.695 0.500

***

Entry D
KIn2Ir | Alexandria via LeMat-Bulk | PBE-GGA | relaxed; size of the total moment = 0.00 μB/cell; space group = No. 225
1.0
0.000 3.533 3.533
3.533 0.000 3.533
3.533 3.533 0.000
K In Ir
1 2 1
direct
0.000 0.000 0.000
0.250 0.250 0.250
0.750 0.750 0.750
0.500 0.500 0.500

***

entry C is favored, and the nearest alternative lies 284 meV/atom above it.

***

Entry A
KIn3Ir | Alexandria via LeMat-Bulk | PBE-GGA | relaxed; size of the total moment = 0.47 μB/cell; space group = No. 221
1.0
5.712 0.000 0.000
0.000 5.712 0.000
0.000 0.000 5.712
K In Ir
1 3 1
direct
0.000 0.000 0.000
0.000 0.000 0.500
0.000 0.500 0.000
0.500 0.000 0.000
0.500 0.500 0.500

***

Entry B
KIn3Ir | Alexandria via LeMat-Bulk | PBE-GGA | relaxed; size of the total moment = 0.00 μB/cell; space group = No. 15
1.0
6.287 -4.896 0.000
6.287 4.896 0.000
-1.008 0.000 8.172
K In Ir
4 12 4
direct
0.076 0.924 0.750
0.252 0.748 0.250
0.748 0.252 0.750
0.924 0.076 0.250
0.084 0.418 0.161
0.086 0.309 0.545
0.309 0.086 0.045
0.338 0.541 0.588
0.418 0.084 0.661
0.459 0.662 0.912
0.541 0.338 0.088
0.582 0.916 0.339
0.662 0.459 0.412
0.691 0.914 0.955
0.914 0.691 0.455
0.916 0.582 0.839
0.256 0.394 0.859
0.394 0.256 0.359
0.606 0.744 0.641
0.744 0.606 0.141

***

entry B is favored, and the nearest alternative lies 1810 meV/atom above it.

***

Entry A
K2In2Ir | Alexandria via LeMat-Bulk | PBE-GGA | relaxed; size of the total moment = 0.00 μB/cell; space group = No. 139
1.0
-1.975 1.975 8.289
1.975 -1.975 8.289
1.975 1.975 -8.289
K In Ir
2 2 1
direct
0.250 0.750 0.500
0.750 0.250 0.500
0.083 0.083 0.000
0.917 0.917 0.000
0.500 0.500 0.000

***

Entry B
K2In2Ir | Alexandria via LeMat-Bulk | PBE-GGA | relaxed; size of the total moment = 0.00 μB/cell; space group = No. 127
1.0
7.202 0.000 0.000
0.000 7.202 0.000
0.000 0.000 6.141
K In Ir
4 4 2
direct
0.175 0.325 0.000
0.325 0.825 0.000
0.675 0.175 0.000
0.825 0.675 0.000
0.183 0.683 0.500
0.317 0.183 0.500
0.683 0.817 0.500
0.817 0.317 0.500
0.000 0.000 0.500
0.500 0.500 0.500

***

entry B is favored, and the nearest alternative lies 667 meV/atom above it.

***

Entry A
La3InIr | Alexandria via LeMat-Bulk | PBE-GGA | relaxed; size of the total moment = 0.00 μB/cell; space group = No. 12
1.0
8.252 -2.100 0.000
8.252 2.100 0.000
-6.182 0.000 9.099
La In Ir
6 2 2
direct
0.095 0.095 0.459
0.331 0.331 0.196
0.363 0.363 0.782
0.637 0.637 0.218
0.669 0.669 0.804
0.905 0.905 0.541
0.071 0.071 0.925
0.929 0.929 0.075
0.268 0.268 0.410
0.732 0.732 0.590

***

Entry B
La3InIr | Alexandria via LeMat-Bulk | PBE-GGA | relaxed; size of the total moment = 0.00 μB/cell; space group = No. 2
1.0
6.133 0.000 0.000
-1.515 6.390 0.000
-2.996 -0.843 7.550
La In Ir
6 2 2
direct
0.010 0.382 0.208
0.233 0.872 0.486
0.310 0.181 0.986
0.690 0.819 0.014
0.767 0.128 0.514
0.990 0.618 0.792
0.381 0.409 0.637
0.619 0.591 0.363
0.252 0.796 0.152
0.748 0.204 0.848

***

entry B is favored, and the nearest alternative lies 14 meV/atom above it.

***

Entry A
La3InIr | Alexandria via LeMat-Bulk | PBE-GGA | relaxed; size of the total moment = 0.00 μB/cell; space group = No. 11
1.0
4.970 0.000 0.000
0.000 8.588 0.000
-0.020 0.000 6.770
La In Ir
6 2 2
direct
0.249 0.250 0.427
0.250 0.539 0.805
0.250 0.961 0.805
0.750 0.039 0.195
0.750 0.461 0.195
0.751 0.750 0.573
0.249 0.750 0.249
0.751 0.250 0.751
0.254 0.250 0.000
0.746 0.750 0.000

***

Entry B
La3InIr | Alexandria via LeMat-Bulk | PBE-GGA | relaxed; size of the total moment = 0.00 μB/cell; space group = No. 2
1.0
5.849 0.000 0.000
-2.907 6.336 0.000
-0.009 -3.443 8.610
La In Ir
6 2 2
direct
0.107 0.214 0.228
0.158 0.315 0.642
0.375 0.749 0.091
0.625 0.251 0.909
0.842 0.685 0.358
0.893 0.786 0.772
0.396 0.794 0.547
0.604 0.206 0.453
0.131 0.262 0.931
0.869 0.738 0.069

***

Entry C
La3InIr | Alexandria via LeMat-Bulk | PBE-GGA | relaxed; size of the total moment = 0.00 μB/cell; space group = No. 63
1.0
3.260 -8.686 0.000
3.260 8.686 0.000
0.000 0.000 5.750
La In Ir
6 2 2
direct
0.000 0.000 0.000
0.000 0.000 0.500
0.111 0.417 0.750
0.417 0.111 0.250
0.583 0.889 0.750
0.889 0.583 0.250
0.176 0.824 0.750
0.824 0.176 0.250
0.483 0.517 0.750
0.517 0.483 0.250

***

entry B is favored, and the nearest alternative lies 101 meV/atom above it.

***

Entry A
La3InIr | Alexandria via LeMat-Bulk | PBE-GGA | relaxed; size of the total moment = 0.00 μB/cell; space group = No. 194
1.0
5.157 0.000 0.000
-2.578 4.466 0.000
0.000 0.000 16.351
La In Ir
6 2 2
direct
0.000 0.000 0.250
0.000 0.000 0.750
0.333 0.667 0.085
0.333 0.667 0.415
0.667 0.333 0.585
0.667 0.333 0.915
0.000 0.000 0.000
0.000 0.000 0.500
0.333 0.667 0.250
0.667 0.333 0.750

***

Entry B
La3InIr | Alexandria via LeMat-Bulk | PBE-GGA | relaxed; size of the total moment = 0.00 μB/cell; space group = No. 62
1.0
6.169 0.000 0.000
0.000 11.015 0.000
0.000 0.000 8.644
La In Ir
12 4 4
direct
0.008 0.102 0.143
0.008 0.398 0.143
0.211 0.250 0.711
0.289 0.750 0.211
0.492 0.602 0.643
0.492 0.898 0.643
0.508 0.102 0.357
0.508 0.398 0.357
0.711 0.250 0.789
0.789 0.750 0.289
0.992 0.602 0.857
0.992 0.898 0.857
0.000 0.000 0.500
0.000 0.500 0.500
0.500 0.000 0.000
0.500 0.500 0.000
0.038 0.250 0.410
0.462 0.750 0.910
0.538 0.250 0.090
0.962 0.750 0.590

***

entry B is favored, and the nearest alternative lies 93 meV/atom above it.